No. 1
A plane-wave DFT calculation with GGA-PBE was carried out for crystalline Rb2TlF4 at its relaxed geometry.

Lattice parameters (Å, degrees): 4.7100 4.7100 7.9345 72.73 72.73 90.00
With the nearest neighbours (Å) after each atom.
Positions (direct):
Tl (0.0000, 0.0000, 0.0000)  6 F 2.36-2.40
Rb (0.3543, 0.3543, 0.2915)  1 F 2.70
Rb (0.6457, 0.6457, 0.7085)  1 F 2.70
F (0.8332, 0.8332, 0.3337)  1 Tl 2.40
F (0.5000, 0.0000, 0.0000)  2 Tl 2.36
F (0.1668, 0.1668, 0.6663)  1 Tl 2.40
F (0.0000, 0.5000, 0.0000)  2 Tl 2.36

Its energy above the most stable polymorph in this dataset is 0 meV/atom. The uncorrected formation energy is -2.305 eV/atom. Its space-group type is I4/mmm, No. 139.


No. 2
A plane-wave DFT calculation with GGA-PBE was carried out for crystalline Rb3TlF at its relaxed geometry.

Lattice parameters (Å, degrees): 5.8507 5.8507 5.8507 90.00 90.00 90.00
With the nearest neighbours (Å) after each atom.
Positions (direct):
Tl (0.5000, 0.5000, 0.5000)  12 Rb 4.14
Rb (0.5000, 0.0000, 0.0000)  2 F 2.93
Rb (0.0000, 0.0000, 0.5000)  2 F 2.93
Rb (0.0000, 0.5000, 0.0000)  2 F 2.93
F (0.0000, 0.0000, 0.0000)  6 Rb 2.93

Its energy above the most stable polymorph in this dataset is 0 meV/atom. The uncorrected formation energy is -1.012 eV/atom. Its space-group type is Pm-3m, No. 221.